Crystalline Y2ZnHIr at its relaxed geometry, computed with PBE-GGA.

Structure (POSCAR):
```
Y2ZnHIr
1.0
-2.155 -2.581 3.691
3.931 -3.076 0.144
1.582 2.134 2.416
Y Ir Zn H
2 1 1 1
direct
0.500 0.000 0.000
0.000 0.500 0.000
0.000 0.000 0.500
0.500 0.500 0.500
0.000 0.000 0.000
```

Values from the calculation:
* symmetry: P4/mmm, No. 123
* energy above the lowest structure with this stoichiometry: 0.000 eV per atom


Crystalline Y2ZnHIr at its relaxed geometry, computed with PBE-GGA.

Structure (POSCAR):
```
Y2ZnHIr
1.0
-4.654 -0.443 -1.068
1.109 -2.957 -3.609
-0.254 -2.935 2.326
Zn Ir Y H
1 1 2 1
direct
0.000 0.000 0.500
0.500 0.500 0.500
0.500 0.000 0.000
0.000 0.500 0.000
0.000 0.000 0.000
```

Values from the calculation:
* symmetry: P4/mmm, No. 123
* energy above the lowest structure with this stoichiometry: 0.056 eV per atom


Crystalline YZrHIr2 at its relaxed geometry, computed with PBE-GGA.

Structure (POSCAR):
```
YZrHIr2
1.0
-2.272 -2.977 -3.215
-2.131 -2.413 3.741
-4.176 3.392 -0.190
Y Ir H Zr
1 2 1 1
direct
0.000 0.000 0.000
0.500 0.000 0.000
0.000 0.500 0.000
0.500 0.500 0.500
0.000 0.000 0.500
```

Values from the calculation:
* symmetry: P4/mmm, No. 123
* uncorrected energy: -4.998 eV/atom


Crystalline YZrH2Ir at its relaxed geometry, computed with PBE-GGA.

Structure (POSCAR):
```
YZrH2Ir
1.0
3.997 0.000 0.000
0.000 5.221 0.000
0.000 0.000 3.997
Ir H Zr Y
1 2 1 1
direct
0.000 0.500 0.000
0.500 0.000 0.000
0.000 0.000 0.500
0.000 0.000 0.000
0.500 0.500 0.500
```

Values from the calculation:
* symmetry: P4/mmm, No. 123
* uncorrected energy: -6.380 eV/atom


Crystalline ZnH3Ir at its relaxed geometry, computed with PBE-GGA.

Structure (POSCAR):
```
ZnH3Ir
1.0
-1.681 2.326 1.863
-2.611 -0.119 -2.208
-1.436 -2.506 1.834
Ir H Zn
1 3 1
direct
0.500 0.500 0.500
0.500 0.000 0.000
0.000 0.000 0.500
0.000 0.500 0.000
0.000 0.000 0.000
```

Values from the calculation:
* symmetry: Pm-3m, No. 221
* energy above the lowest structure with this stoichiometry: 0.917 eV per atom


Crystalline ZnHIr2 at its relaxed geometry, computed with PBE-GGA.

Structure (POSCAR):
```
ZnHIr2
1.0
0.000 2.904 2.904
2.904 0.000 2.904
2.904 2.904 0.000
H Ir Zn
1 2 1
direct
0.000 0.000 0.000
0.250 0.250 0.250
0.750 0.750 0.750
0.500 0.500 0.500
```

Values from the calculation:
* symmetry: Fm-3m, No. 225
* energy above the lowest structure with this stoichiometry: 0.541 eV per atom


Crystalline ZnH3Ir at its relaxed geometry, computed with PBE-GGA.

Structure (POSCAR):
```
ZnH3Ir
1.0
-4.969 -1.109 -0.669
-0.256 -1.472 4.343
2.096 4.974 1.809
H Zn Ir
6 2 2
direct
0.822 0.205 0.490
0.938 0.448 0.136
0.212 0.705 0.070
0.212 0.191 0.070
0.822 0.691 0.490
0.097 0.948 0.424
0.644 0.948 0.799
0.390 0.448 0.761
0.083 0.948 0.698
0.951 0.448 0.863
```

Values from the calculation:
* symmetry: P2_1/m, No. 11
* energy above the lowest structure with this stoichiometry: 0.000 eV per atom


Crystalline ZnHIr3 at its relaxed geometry, computed with PBE-GGA.

Structure (POSCAR):
```
ZnHIr3
1.0
-0.305 -0.547 3.883
-3.206 -2.208 -0.563
2.258 -3.209 -0.275
H Ir Zn
1 3 1
direct
0.000 0.000 0.000
0.000 0.500 0.000
0.000 0.000 0.500
0.500 0.000 0.000
0.500 0.500 0.500
```

Values from the calculation:
* symmetry: Pm-3m, No. 221
* energy above the lowest structure with this stoichiometry: 0.000 eV per atom


Crystalline Zn2HIr at its relaxed geometry, computed with PBE-GGA.

Structure (POSCAR):
```
Zn2HIr
1.0
4.622 0.000 0.000
0.000 4.622 0.000
2.311 2.311 5.007
Ir Zn H
2 4 2
direct
0.750 0.250 0.500
0.000 0.000 0.000
0.475 0.125 0.250
0.375 0.525 0.750
0.875 0.725 0.750
0.275 0.625 0.250
0.500 0.500 0.000
0.250 0.750 0.500
```

Values from the calculation:
* symmetry: I-42d, No. 122
* energy above the lowest structure with this stoichiometry: 0.705 eV per atom


Crystalline Zn2HIr at its relaxed geometry, computed with PBE-GGA.

Structure (POSCAR):
```
Zn2HIr
1.0
0.000 2.973 2.973
2.973 0.000 2.973
2.973 2.973 0.000
H Zn Ir
1 2 1
direct
0.000 0.000 0.000
0.250 0.250 0.250
0.750 0.750 0.750
0.500 0.500 0.500
```

Values from the calculation:
* symmetry: Fm-3m, No. 225
* energy above the lowest structure with this stoichiometry: 0.652 eV per atom


Crystalline ZnHIr2 at its relaxed geometry, computed with PBE-GGA.

Structure (POSCAR):
```
ZnHIr2
1.0
-4.567 1.304 3.841
-3.324 -4.519 -2.418
-2.983 -3.221 2.404
Ir H Zn
4 2 2
direct
0.375 0.472 0.750
0.222 0.625 0.250
0.528 0.125 0.250
0.875 0.778 0.750
0.250 0.750 0.500
0.500 0.500 0.000
0.750 0.250 0.500
0.000 0.000 0.000
```

Values from the calculation:
* symmetry: I-42d, No. 122
* energy above the lowest structure with this stoichiometry: 0.080 eV per atom


Crystalline ZnH6Ir at its relaxed geometry, computed with PBE-GGA.

Structure (POSCAR):
```
ZnH6Ir
1.0
-5.316 0.858 -2.763
-0.954 -5.193 -2.319
-2.549 3.777 3.535
H Ir Zn
6 1 1
direct
0.421 0.138 0.138
0.710 0.175 0.420
0.290 0.580 0.825
0.710 0.420 0.175
0.579 0.862 0.862
0.290 0.825 0.580
0.500 0.500 0.500
0.000 0.000 0.000
```

Values from the calculation:
* symmetry: C2/m, No. 12
* uncorrected energy: -3.717 eV/atom